# 1
The following is a GGA-PBE calculation of a relaxed La2Zn3Ag4 crystal, from Alexandria.

a b c (Å): 5.4316 5.4971 7.7579
angles (deg): 80.04 69.51 60.39
Last column: nearest neighbours and their distance in Å.
Sites, in units of the cell vectors:
La 0.6323 0.0000 0.7354  8 Ag 3.19-3.29, 6 Zn 3.33-3.35
La 0.3677 0.0000 0.2646  8 Ag 3.19-3.29, 6 Zn 3.33-3.35
Zn 0.0000 0.5000 0.0000  4 Zn 2.72-2.75, 4 Ag 2.92
Zn 0.0000 0.0000 0.0000  4 Zn 2.75, 4 Ag 2.93
Zn 0.5000 0.5000 0.0000  4 Zn 2.72-2.75, 4 Ag 2.92
Ag 0.9968 0.6680 0.3384  4 Ag 2.85-3.17, 3 Zn 2.92-2.93
Ag 0.6648 0.3320 0.3384  4 Ag 2.85-3.17, 3 Zn 2.92-2.93
Ag 0.0032 0.3320 0.6616  4 Ag 2.85-3.17, 3 Zn 2.92-2.93
Ag 0.3352 0.6680 0.6616  4 Ag 2.85-3.17, 3 Zn 2.92-2.93

Electronic total energy: -27.683 eV per cell
Density of states at the Fermi level: 4.06 states/eV per cell


# 2
The following is a GGA-PBE calculation of a relaxed La5Zn2Ag crystal, from Alexandria.

a b c (Å): 7.7001 7.7001 9.7695
angles (deg): 113.21 113.21 90.00
Last column: nearest neighbours and their distance in Å.
Sites, in units of the cell vectors:
La 0.5188 0.6831 0.7019  3 Zn 3.29-3.36, 2 Ag 3.30, 1 La 3.66
La 0.8169 0.9812 0.2981  3 Zn 3.29-3.36, 2 Ag 3.30, 1 La 3.66
La 0.0000 0.0000 0.0000  4 Zn 3.08
La 0.5000 0.5000 0.0000  4 Zn 3.08
La 0.1831 0.0188 0.7019  3 Zn 3.29-3.36, 2 Ag 3.30, 1 La 3.66
La 0.6831 0.1831 0.7019  3 Zn 3.29-3.36, 2 Ag 3.30, 1 La 3.66
La 0.0188 0.5188 0.7019  3 Zn 3.29-3.36, 2 Ag 3.30, 1 La 3.66
La 0.3169 0.8169 0.2981  3 Zn 3.29-3.36, 2 Ag 3.30, 1 La 3.66
La 0.9812 0.4812 0.2981  3 Zn 3.29-3.36, 2 Ag 3.30, 1 La 3.66
La 0.4812 0.3169 0.2981  3 Zn 3.29-3.36, 2 Ag 3.30, 1 La 3.66
Zn 0.1184 0.3816 0.0000  1 Zn 2.58
Zn 0.6184 0.1184 0.0000  1 Zn 2.58
Zn 0.3816 0.8816 0.0000  1 Zn 2.58
Zn 0.8816 0.6184 0.0000  1 Zn 2.58
Ag 0.7500 0.7500 0.5000  8 La 3.30
Ag 0.2500 0.2500 0.5000  8 La 3.30

Electronic total energy: -63.005 eV per cell
Density of states at the Fermi level: 22.42 states/eV per cell


# 3
The following is a GGA-PBE calculation of a relaxed La2Zn6Ag crystal, from Alexandria.

a b c (Å): 6.4412 6.4412 6.4403
angles (deg): 59.97 59.97 59.98
Last column: nearest neighbours and their distance in Å.
Sites, in units of the cell vectors:
La 0.2500 0.2500 0.2496  12 Zn 3.24
La 0.7500 0.7500 0.7504  12 Zn 3.24
Zn 0.2103 0.2103 0.7891  1 Ag 2.64, 4 Zn 2.71
Zn 0.2103 0.7896 0.2103  1 Ag 2.64, 4 Zn 2.71
Zn 0.7897 0.2104 0.7897  1 Ag 2.64, 4 Zn 2.71
Zn 0.7896 0.2103 0.2103  1 Ag 2.64, 4 Zn 2.71
Zn 0.2104 0.7897 0.7897  1 Ag 2.64, 4 Zn 2.71
Zn 0.7897 0.7897 0.2109  1 Ag 2.64, 4 Zn 2.71
Ag 0.5000 0.5000 0.5000  6 Zn 2.64

Electronic total energy: -22.680 eV per cell
Density of states at the Fermi level: 8.09 states/eV per cell


# 4
The following is a GGA-PBE calculation of a relaxed La12ZnAg6 crystal, from Alexandria.

a b c (Å): 8.2030 8.2030 8.2030
angles (deg): 89.06 89.06 89.06
Last column: nearest neighbours and their distance in Å.
Sites, in units of the cell vectors:
La 0.8137 0.5468 0.4444  3 Ag 3.27-3.47, 2 La 3.28-3.33
La 0.4444 0.8137 0.5468  3 Ag 3.27-3.47, 2 La 3.28-3.33
La 0.5468 0.4444 0.8137  3 Ag 3.27-3.47, 2 La 3.28-3.33
La 0.1863 0.4532 0.5556  3 Ag 3.27-3.47, 2 La 3.28-3.33
La 0.5556 0.1863 0.4532  3 Ag 3.27-3.47, 2 La 3.28-3.33
La 0.4532 0.5556 0.1863  3 Ag 3.27-3.47, 2 La 3.28-3.33
La 0.0148 0.1413 0.3716  2 La 3.12-3.33, 4 Ag 3.22-3.44, 1 Zn 3.28
La 0.8587 0.6284 0.9852  2 La 3.12-3.33, 4 Ag 3.22-3.44, 1 Zn 3.28
La 0.6284 0.9852 0.8587  2 La 3.12-3.33, 4 Ag 3.22-3.44, 1 Zn 3.28
La 0.9852 0.8587 0.6284  2 La 3.12-3.33, 4 Ag 3.22-3.44, 1 Zn 3.28
La 0.1413 0.3716 0.0148  2 La 3.12-3.33, 4 Ag 3.22-3.44, 1 Zn 3.28
La 0.3716 0.0148 0.1413  2 La 3.12-3.33, 4 Ag 3.22-3.44, 1 Zn 3.28
Zn 0.0000 0.0000 0.0000  6 Ag 3.06, 6 La 3.28
Ag 0.7420 0.8918 0.2517  1 Zn 3.06, 2 Ag 3.21, 5 La 3.22-3.32
Ag 0.7483 0.2580 0.1082  1 Zn 3.06, 2 Ag 3.21, 5 La 3.22-3.32
Ag 0.1082 0.7483 0.2580  1 Zn 3.06, 2 Ag 3.21, 5 La 3.22-3.32
Ag 0.2580 0.1082 0.7483  1 Zn 3.06, 2 Ag 3.21, 5 La 3.22-3.32
Ag 0.2517 0.7420 0.8918  1 Zn 3.06, 2 Ag 3.21, 5 La 3.22-3.32
Ag 0.8918 0.2517 0.7420  1 Zn 3.06, 2 Ag 3.21, 5 La 3.22-3.32

Electronic total energy: -79.156 eV per cell
Density of states at the Fermi level: 22.29 states/eV per cell


# 5
The following is a GGA-PBE calculation of a relaxed La4ZnAg3 crystal, from Alexandria.

a b c (Å): 3.9582 4.8797 11.7618
angles (deg): 90.00 90.00 90.00
Last column: nearest neighbours and their distance in Å.
Sites, in units of the cell vectors:
La 0.5000 0.5000 0.3527  6 Ag 3.26-3.28, 1 Zn 3.28
La 0.0000 0.5000 0.8573  2 Zn 3.23, 5 Ag 3.25-3.32
La 0.0000 0.0000 0.1442  3 Ag 3.22-3.31, 4 Zn 3.25
La 0.5000 0.0000 0.6435  7 Ag 3.24-3.35
Zn 0.5000 0.5000 0.0738  2 Ag 2.98, 7 La 3.23-3.28
Ag 0.0000 0.5000 0.5748  2 Ag 3.01, 7 La 3.24-3.32
Ag 0.0000 0.0000 0.4255  2 Ag 3.01, 7 La 3.24-3.31
Ag 0.5000 0.0000 0.9283  2 Zn 2.98, 6 La 3.22-3.25

Electronic total energy: -31.537 eV per cell
Density of states at the Fermi level: 9.09 states/eV per cell


# 6
The following is a GGA-PBE calculation of a relaxed La6ZnAg2 crystal, from Alexandria.

a b c (Å): 5.5525 5.5525 10.3083
angles (deg): 90.00 90.00 120.00
Last column: nearest neighbours and their distance in Å.
Sites, in units of the cell vectors:
La 0.6667 0.3333 0.9947  1 Ag 3.16, 3 La 3.21
La 0.3333 0.6667 0.0053  1 Ag 3.16, 3 La 3.21
La 0.0000 0.0000 0.1845  1 Zn 3.25, 3 Ag 3.42
La 0.3333 0.6667 0.3877  4 Ag 3.21-3.33, 3 Zn 3.41
La 0.0000 0.0000 0.8155  1 Zn 3.25, 3 Ag 3.42
La 0.6667 0.3333 0.6123  4 Ag 3.21-3.33, 3 Zn 3.41
Zn 0.0000 0.0000 0.5000  8 La 3.25-3.41
Ag 0.3333 0.6667 0.6990  8 La 3.16-3.42
Ag 0.6667 0.3333 0.3010  8 La 3.16-3.42

Electronic total energy: -37.745 eV per cell
Density of states at the Fermi level: 9.84 states/eV per cell


# 7
The following is a GGA-PBE calculation of a relaxed La2Zn6Ag9 crystal, from Alexandria.

a b c (Å): 5.6739 5.6739 13.0644
angles (deg): 90.00 90.00 120.00
Last column: nearest neighbours and their distance in Å.
Sites, in units of the cell vectors:
La 0.0000 0.0000 0.6720  6 Zn 3.28, 12 Ag 3.54-3.62
La 0.0000 0.0000 0.3280  6 Zn 3.28, 12 Ag 3.54-3.62
Zn 0.3333 0.6667 0.0000  6 Ag 2.71
Zn 0.6667 0.3333 0.0000  6 Ag 2.71
Zn 0.3333 0.6667 0.6654  6 Ag 2.71-2.75
Zn 0.6667 0.3333 0.6654  6 Ag 2.71-2.75
Zn 0.6667 0.3333 0.3346  6 Ag 2.71-2.75
Zn 0.3333 0.6667 0.3346  6 Ag 2.71-2.75
Ag 0.5000 0.0000 0.8344  4 Zn 2.71-2.75, 4 Ag 2.84
Ag 0.0000 0.5000 0.8344  4 Zn 2.71-2.75, 4 Ag 2.84
Ag 0.5000 0.5000 0.8344  4 Zn 2.71-2.75, 4 Ag 2.84
Ag 0.5000 0.0000 0.1656  4 Zn 2.71-2.75, 4 Ag 2.84
Ag 0.0000 0.5000 0.1656  4 Zn 2.71-2.75, 4 Ag 2.84
Ag 0.5000 0.5000 0.1656  4 Zn 2.71-2.75, 4 Ag 2.84
Ag 0.5000 0.0000 0.5000  4 Zn 2.71, 4 Ag 2.84
Ag 0.0000 0.5000 0.5000  4 Zn 2.71, 4 Ag 2.84
Ag 0.5000 0.5000 0.5000  4 Zn 2.71, 4 Ag 2.84

Electronic total energy: -44.677 eV per cell
Density of states at the Fermi level: 8.17 states/eV per cell


# 8
The following is a GGA-PBE calculation of a relaxed La3Zn4Ag4 crystal, from Alexandria.

a b c (Å): 3.8720 4.6105 14.4198
angles (deg): 80.83 82.26 90.02
Last column: nearest neighbours and their distance in Å.
Sites, in units of the cell vectors:
La 0.1447 0.6461 0.7104  6 Zn 3.28-3.38, 6 Ag 3.31-3.39
La 0.8553 0.3540 0.2896  6 Zn 3.28-3.38, 6 Ag 3.31-3.39
La 0.0000 0.0000 0.0000  8 Zn 3.28-3.29, 4 Ag 3.32-3.33
Zn 0.5462 0.5474 0.9065  1 Zn 2.64, 2 Ag 2.69
Zn 0.4538 0.4526 0.0935  1 Zn 2.64, 2 Ag 2.69
Zn 0.3089 0.8077 0.3822  5 Ag 2.67-2.74
Zn 0.6911 0.1923 0.6178  5 Ag 2.67-2.74
Ag 0.5964 0.0964 0.8084  3 Zn 2.69
Ag 0.2567 0.2560 0.4872  4 Zn 2.67-2.74
Ag 0.7433 0.7440 0.5128  4 Zn 2.67-2.74
Ag 0.4037 0.9036 0.1917  3 Zn 2.69

Electronic total energy: -34.393 eV per cell
Density of states at the Fermi level: 8.57 states/eV per cell


# 9
The following is a GGA-PBE calculation of a relaxed La7Zn2Ag2 crystal, from Alexandria.

a b c (Å): 6.8820 7.7590 6.8820
angles (deg): 90.00 110.31 90.00
Last column: nearest neighbours and their distance in Å.
Sites, in units of the cell vectors:
La 0.0000 0.3037 0.5000  1 La 3.05, 2 Ag 3.10, 2 Zn 3.29
La 0.5000 0.6963 0.0000  1 La 3.05, 2 Ag 3.10, 2 Zn 3.29
La 0.0000 0.6963 0.5000  1 La 3.05, 2 Ag 3.10, 2 Zn 3.29
La 0.5000 0.3037 0.0000  1 La 3.05, 2 Ag 3.10, 2 Zn 3.29
La 0.0000 0.0000 0.0000  2 Ag 3.28
La 0.5000 0.7215 0.5000  2 Zn 3.19, 2 Ag 3.21, 5 La 3.44-3.45
La 0.5000 0.2785 0.5000  2 Zn 3.19, 2 Ag 3.21, 5 La 3.44-3.45
Zn 0.8421 0.5000 0.8421  1 Zn 2.48
Zn 0.1579 0.5000 0.1579  1 Zn 2.48
Ag 0.7097 0.0000 0.2903  7 La 3.10-3.28
Ag 0.2903 0.0000 0.7097  7 La 3.10-3.28

Electronic total energy: -42.755 eV per cell
Density of states at the Fermi level: 14.03 states/eV per cell


# 10
The following is a GGA-PBE calculation of a relaxed LaZnAg2 crystal, from Alexandria.

a b c (Å): 9.7971 9.7971 9.7971
angles (deg): 19.13 19.13 19.13
Last column: nearest neighbours and their distance in Å.
Sites, in units of the cell vectors:
Ag 0.0035 0.0035 0.0035  3 Zn 2.74, 3 Ag 2.91
Ag 0.2596 0.2596 0.2596  9 Ag 2.91-3.26
La 0.4976 0.4976 0.4976  3 Zn 3.24, 6 La 3.26, 3 Ag 3.33
Zn 0.7394 0.7394 0.7394  3 Ag 2.74

Electronic total energy: -11.604 eV per cell
Density of states at the Fermi level: 2.65 states/eV per cell


# 11
The following is a GGA-PBE calculation of a relaxed LaZnAg crystal, from Alexandria.

a b c (Å): 4.7673 5.9300 6.0105
angles (deg): 75.20 66.64 66.30
Last column: nearest neighbours and their distance in Å.
Sites, in units of the cell vectors:
La 0.5280 0.2255 0.7185  6 Ag 3.22-3.39, 6 Zn 3.25-3.37
La 0.4720 0.7745 0.2815  6 Ag 3.22-3.39, 6 Zn 3.25-3.37
Zn 0.8390 0.2017 0.1203  1 Zn 2.69, 2 Ag 2.74
Zn 0.1610 0.7983 0.8797  1 Zn 2.69, 2 Ag 2.74
Ag 0.1733 0.3659 0.2874  3 Zn 2.74-3.06, 1 Ag 2.90
Ag 0.8267 0.6341 0.7126  3 Zn 2.74-3.06, 1 Ag 2.90

Electronic total energy: -20.102 eV per cell
Density of states at the Fermi level: 4.36 states/eV per cell


# 12
The following is a GGA-PBE calculation of a relaxed LaZn8Ag4 crystal, from Alexandria.

a b c (Å): 5.3845 7.0999 7.0999
angles (deg): 81.73 67.72 67.72
Last column: nearest neighbours and their distance in Å.
Sites, in units of the cell vectors:
La 0.0000 0.0000 0.0000  12 Zn 3.31-3.36, 8 Ag 3.55
Zn 0.0000 0.3565 0.6435  3 Zn 2.67-2.95, 4 Ag 2.86
Zn 0.0000 0.6435 0.3565  3 Zn 2.67-2.95, 4 Ag 2.86
Zn 0.3565 0.6435 0.6435  3 Zn 2.67-2.95, 4 Ag 2.86
Zn 0.6435 0.3565 0.3565  3 Zn 2.67-2.95, 4 Ag 2.86
Zn 0.5000 0.7828 0.2172  4 Ag 2.70, 6 Zn 2.85-2.99
Zn 0.5000 0.2172 0.7828  4 Ag 2.70, 6 Zn 2.85-2.99
Zn 0.2828 0.2172 0.2172  4 Ag 2.70, 6 Zn 2.85-2.99
Zn 0.7172 0.7828 0.7828  4 Ag 2.70, 6 Zn 2.85-2.99
Ag 0.0000 0.0000 0.5000  2 Ag 2.69, 8 Zn 2.70-2.86
Ag 0.5000 0.0000 0.5000  2 Ag 2.69, 8 Zn 2.70-2.86
Ag 0.0000 0.5000 0.0000  2 Ag 2.69, 8 Zn 2.70-2.86
Ag 0.5000 0.5000 0.0000  2 Ag 2.69, 8 Zn 2.70-2.86

Electronic total energy: -27.981 eV per cell
Density of states at the Fermi level: 7.46 states/eV per cell


Computed formation energy from the elements, in the same sequence as the records: -289; -183; -259; -87; -250; -134; -89; -283; -1; 75; -333; -112 meV per atom.